Material: CaCr2Br2
Method: DFT, PBE-GGA
State: relaxed

Geometry as POSCAR:
```
CaCr2Br2
1.0
-2.395 2.395 5.063
2.395 -2.395 5.063
2.395 2.395 -5.063
Ca Cr Br
1 2 2
Direct
0.000 0.000 0.000 Ca
0.412 0.412 0.000 Cr
0.588 0.588 0.000 Cr
0.250 0.750 0.500 Br
0.750 0.250 0.500 Br
```

Output
- total moment (μB/f.u.) = 0.0
- E_tot (eV per atom) = -4.8432